No. 1
Crystalline NdGaSnPt2 at its relaxed geometry, computed with GGA-PBE.

Values from the calculation:
- Raw total energy: -56.6 eV/cell
- Space-group type: P4/nmm, No. 129

a = 4.4736 Å, b = 4.4736 Å, c = 10.5494 Å
α = 90.00°, β = 90.00°, γ = 90.00°
Closest atoms and distances in Å follow each position.
Positions (direct):
Nd 0.0000 0.5000 0.2642  4 Ga 3.35, 9 Pt 3.41-3.71, 4 Sn 3.43
Ga 0.0000 0.0000 0.5000  4 Pt 2.55
Pt 0.5000 0.0000 0.3844  4 Ga 2.55, 1 Sn 2.60
Nd 0.5000 0.0000 0.7358  4 Ga 3.35, 9 Pt 3.41-3.71, 4 Sn 3.43
Sn 0.0000 0.5000 0.8617  5 Pt 2.60-2.67
Pt 0.5000 0.5000 0.0000  4 Sn 2.67
Pt 0.0000 0.5000 0.6156  4 Ga 2.55, 1 Sn 2.60
Pt 0.0000 0.0000 0.0000  4 Sn 2.67
Sn 0.5000 0.0000 0.1383  5 Pt 2.60-2.67
Ga 0.5000 0.5000 0.5000  4 Pt 2.55

***

No. 2
Crystalline YBeAlCo at its relaxed geometry, computed with GGA-PBE.

Values from the calculation:
- Raw total energy: -21.1 eV/cell
- Space-group type: F-43m, No. 216

a = 4.4251 Å, b = 4.4251 Å, c = 4.4251 Å
α = 60.00°, β = 60.00°, γ = 60.00°
Closest atoms and distances in Å follow each position.
Positions (direct):
Al 0.0000 0.0000 0.0000  4 Co 2.71, 4 Y 2.71
Co 0.7500 0.7500 0.7500  4 Be 2.71, 4 Al 2.71
Be 0.5000 0.5000 0.5000  4 Co 2.71, 4 Y 2.71
Y 0.2500 0.2500 0.2500  4 Be 2.71, 4 Al 2.71

***

No. 3
Crystalline DyCoPb at its relaxed geometry, computed with GGA-PBE.

Values from the calculation:
- Raw total energy: -15.8 eV/cell
- Space-group type: F-43m, No. 216

a = 4.6014 Å, b = 4.6014 Å, c = 4.6014 Å
α = 60.00°, β = 60.00°, γ = 60.00°
Closest atoms and distances in Å follow each position.
Positions (direct):
Dy 0.2500 0.2500 0.2500  4 Co 2.82
Pb 0.7500 0.7500 0.7500  4 Co 2.82
Co 0.0000 0.0000 0.0000  4 Dy 2.82, 4 Pb 2.82

***

No. 4
Crystalline Ho2Cu4Ni3 at its relaxed geometry, computed with GGA-PBE.

Values from the calculation:
- ΔH_f (0 K): -327.3 meV per atom
- Space-group type: Fmmm, No. 69

a = 7.5927 Å, b = 6.7187 Å, c = 4.9322 Å
α = 79.73°, β = 60.54°, γ = 39.73°
Closest atoms and distances in Å follow each position.
Positions (direct):
Ni 0.0000 0.0000 0.5000  4 Ni 2.43-2.47, 4 Cu 2.53
Ni 0.5000 0.5000 0.5000  4 Ni 2.47, 4 Cu 2.56
Ho 0.1302 0.1302 0.8698  8 Cu 2.87-2.91, 6 Ni 2.93-2.96
Cu 0.1634 0.5001 0.4999  1 Cu 2.48, 3 Ni 2.53-2.56
Cu 0.8366 0.4999 0.5001  1 Cu 2.48, 3 Ni 2.53-2.56
Ni 0.5000 0.5000 0.0000  4 Ni 2.43-2.47, 4 Cu 2.53
Cu 0.5001 0.1634 0.8366  1 Cu 2.48, 3 Ni 2.53-2.56
Ho 0.8698 0.8698 0.1302  8 Cu 2.87-2.91, 6 Ni 2.93-2.96
Cu 0.4999 0.8366 0.1634  1 Cu 2.48, 3 Ni 2.53-2.56

***

No. 5
Crystalline KNaFe at its relaxed geometry, computed with GGA-PBE.

Values from the calculation:
- Raw total energy: -7.2 eV/cell
- Space-group type: F-43m, No. 216

a = 5.3194 Å, b = 5.3194 Å, c = 5.3194 Å
α = 60.00°, β = 60.00°, γ = 60.00°
Closest atoms and distances in Å follow each position.
Positions (direct):
K 0.7500 0.7500 0.7500  4 Na 3.26
Na 0.0000 0.0000 0.0000  4 Fe 3.26, 4 K 3.26
Fe 0.2500 0.2500 0.2500  4 Na 3.26

***

No. 6
Crystalline PmTaPd at its relaxed geometry, computed with GGA-PBE.

Values from the calculation:
- ΔH_f (0 K): -21.5 meV per atom
- Space-group type: R-3m, No. 166

a = 9.9133 Å, b = 9.9133 Å, c = 9.9133 Å
α = 25.39°, β = 25.39°, γ = 25.39°
Closest atoms and distances in Å follow each position.
Positions (direct):
Pm 0.4376 0.4376 0.4376  3 Pd 2.99
Ta 0.3101 0.3101 0.3101  3 Pd 2.61, 3 Ta 2.85
Pm 0.5624 0.5624 0.5624  3 Pd 2.99
Pd 0.9522 0.9522 0.9522  3 Ta 2.61, 1 Pd 2.75
Ta 0.6899 0.6899 0.6899  3 Pd 2.61, 3 Ta 2.85
Pd 0.0478 0.0478 0.0478  3 Ta 2.61, 1 Pd 2.75

***

No. 7
Crystalline Li2ReNiH6 at its relaxed geometry, computed with GGA-PBE.

Values from the calculation:
- Raw total energy: -41.3 eV/cell
- Space-group type: Fm-3m, No. 225

a = 4.7777 Å, b = 4.7777 Å, c = 4.7777 Å
α = 60.00°, β = 60.00°, γ = 60.00°
Closest atoms and distances in Å follow each position.
Positions (direct):
H 0.7390 0.2610 0.7390  1 Ni 1.61, 1 Re 1.76
H 0.2610 0.2610 0.7390  1 Ni 1.61, 1 Re 1.76
Re 0.0000 0.0000 0.0000  6 H 1.76
H 0.2610 0.7390 0.2610  1 Ni 1.61, 1 Re 1.76
H 0.2610 0.7390 0.7390  1 Ni 1.61, 1 Re 1.76
H 0.7390 0.2610 0.2610  1 Ni 1.61, 1 Re 1.76
Li 0.2500 0.2500 0.2500  12 H 2.39
H 0.7390 0.7390 0.2610  1 Ni 1.61, 1 Re 1.76
Ni 0.5000 0.5000 0.5000  6 H 1.61
Li 0.7500 0.7500 0.7500  12 H 2.39

***

No. 8
Crystalline LaPuTc at its relaxed geometry, computed with GGA-PBE.

Values from the calculation:
- ΔH_f (0 K): 613.5 meV per atom
- Space-group type: F-43m, No. 216

a = 4.7122 Å, b = 4.7122 Å, c = 4.7122 Å
α = 60.00°, β = 60.00°, γ = 60.00°
Closest atoms and distances in Å follow each position.
Positions (direct):
Tc 0.7500 0.7500 0.7500  4 Pu 2.89
La 0.2500 0.2500 0.2500  4 Pu 2.89
Pu 0.0000 0.0000 0.0000  4 Tc 2.89, 4 La 2.89

***

No. 9
Crystalline BaNdAgS3 at its relaxed geometry, computed with GGA-PBE.

Values from the calculation:
- Raw total energy: -63.0 eV/cell
- Space-group type: C2/m, No. 12

a = 9.2573 Å, b = 9.2573 Å, c = 8.6205 Å
α = 102.81°, β = 102.81°, γ = 25.98°
Closest atoms and distances in Å follow each position.
Positions (direct):
Ba 0.1331 0.1331 0.0724  7 S 3.13-3.34
Ba 0.8669 0.8669 0.9276  7 S 3.13-3.34
Nd 0.1637 0.1637 0.5852  6 S 2.84-2.88
S 0.6740 0.6740 0.3641  3 Nd 2.86
S 0.6768 0.6768 0.8148  1 Ag 2.69, 2 Nd 2.84
S 0.5000 0.5000 0.0000  2 Ag 2.63
Ag 0.4756 0.4756 0.2892  4 S 2.63-2.73
Ag 0.5244 0.5244 0.7108  4 S 2.63-2.73
S 0.3260 0.3260 0.6359  3 Nd 2.86
Nd 0.8363 0.8363 0.4148  6 S 2.84-2.88
S 0.3232 0.3232 0.1852  1 Ag 2.69, 2 Nd 2.84
S 0.0000 0.0000 0.5000  4 Ag 2.73, 2 Nd 2.88

***

No. 10
Crystalline Sc5CdCo4 at its relaxed geometry, computed with GGA-PBE.

Values from the calculation:
- ΔH_f (0 K): -356.1 meV per atom
- Space-group type: P4/mmm, No. 123

a = 3.1406 Å, b = 3.1406 Å, c = 16.7160 Å
α = 90.00°, β = 90.00°, γ = 90.00°
Closest atoms and distances in Å follow each position.
Positions (direct):
Co 0.0000 0.0000 0.4074  8 Sc 2.70-2.71
Sc 0.5000 0.5000 0.5000  8 Co 2.71
Co 0.0000 0.0000 0.7806  8 Sc 2.67-2.74
Cd 0.0000 0.0000 0.0000  8 Sc 3.12, 4 Cd 3.14
Co 0.0000 0.0000 0.5926  8 Sc 2.70-2.71
Sc 0.5000 0.5000 0.8690  4 Co 2.67
Sc 0.5000 0.5000 0.6848  8 Co 2.70-2.74
Sc 0.5000 0.5000 0.1310  4 Co 2.67
Co 0.0000 0.0000 0.2194  8 Sc 2.67-2.74
Sc 0.5000 0.5000 0.3152  8 Co 2.70-2.74

***

No. 11
Crystalline HfTlTeAuSe2 at its relaxed geometry, computed with GGA-PBE.

Values from the calculation:
- Raw total energy: -59.3 eV/cell
- Space-group type: P2_1/m, No. 11

a = 8.3378 Å, b = 3.9891 Å, c = 10.5204 Å
α = 90.00°, β = 110.57°, γ = 90.00°
Closest atoms and distances in Å follow each position.
Positions (direct):
Se 0.5902 0.2500 0.3604  1 Au 2.58, 2 Hf 2.70
Hf 0.7867 0.7500 0.3217  3 Se 2.62-2.70
Se 0.4098 0.7500 0.6396  1 Au 2.58, 2 Hf 2.70
Hf 0.2133 0.2500 0.6783  3 Se 2.62-2.70
Tl 0.2373 0.7500 0.1924  5 Se 3.37-3.62, 2 Te 3.41, 2 Au 3.73
Se 0.2268 0.2500 0.9308  1 Hf 2.62, 3 Au 2.77-2.79
Te 0.9365 0.7500 0.6264  3 Hf 2.95-3.00
Te 0.0635 0.2500 0.3736  3 Hf 2.95-3.00
Au 0.4348 0.7500 0.8908  4 Se 2.58-2.79
Au 0.5653 0.2500 0.1092  4 Se 2.58-2.79
Tl 0.7627 0.2500 0.8076  5 Se 3.37-3.62, 2 Te 3.41, 2 Au 3.73
Se 0.7732 0.7500 0.0692  1 Hf 2.62, 3 Au 2.77-2.79

***

No. 12
Crystalline CsNaZrSe3 at its relaxed geometry, computed with GGA-PBE.

Values from the calculation:
- Raw total energy: -114.4 eV/cell
- Space-group type: Pnma, No. 62

a = 16.1973 Å, b = 4.1019 Å, c = 11.3796 Å
α = 90.00°, β = 90.00°, γ = 90.00°
Closest atoms and distances in Å follow each position.
Positions (direct):
Zr 0.9867 0.2500 0.3416  6 Se 2.63-2.79
Se 0.4192 0.7500 0.6535  1 Zr 2.63, 3 Na 2.80-2.89
Se 0.5808 0.2500 0.3465  1 Zr 2.63, 3 Na 2.80-2.89
Se 0.5821 0.7500 0.0665  3 Zr 2.77-2.79
Zr 0.4867 0.2500 0.1584  6 Se 2.63-2.79
Cs 0.2618 0.2500 0.4624  7 Se 3.57-3.97
Na 0.5272 0.2500 0.5884  4 Se 2.73-2.89, 2 Na 3.00
Cs 0.2382 0.7500 0.9624  7 Se 3.57-3.97
Se 0.9192 0.7500 0.8465  1 Zr 2.63, 3 Na 2.80-2.89
Na 0.9728 0.7500 0.0884  4 Se 2.73-2.89, 2 Na 3.00
Cs 0.7618 0.2500 0.0376  7 Se 3.57-3.97
Na 0.4728 0.7500 0.4116  4 Se 2.73-2.89, 2 Na 3.00
Na 0.0272 0.2500 0.9116  4 Se 2.73-2.89, 2 Na 3.00
Se 0.1221 0.2500 0.7130  1 Na 2.73, 2 Zr 2.77
Zr 0.0133 0.7500 0.6584  6 Se 2.63-2.79
Se 0.0808 0.2500 0.1535  1 Zr 2.63, 3 Na 2.80-2.89
Se 0.4179 0.2500 0.9335  3 Zr 2.77-2.79
Zr 0.5133 0.7500 0.8416  6 Se 2.63-2.79
Se 0.6221 0.2500 0.7870  1 Na 2.73, 2 Zr 2.77
Se 0.0821 0.7500 0.4335  3 Zr 2.77-2.79
Se 0.9179 0.2500 0.5665  3 Zr 2.77-2.79
Se 0.3779 0.7500 0.2130  1 Na 2.73, 2 Zr 2.77
Cs 0.7382 0.7500 0.5376  7 Se 3.57-3.97
Se 0.8779 0.7500 0.2870  1 Na 2.73, 2 Zr 2.77

***

Number 1: magnetization 0.004 Bohr magnetons per cell. Number 2: magnetization 0.013 Bohr magnetons per cell. Number 3: magnetization 1.186 Bohr magnetons per cell. Number 4: magnetization 0.006 Bohr magnetons per cell. Number 5: magnetization 3.263 Bohr magnetons per cell. Number 6: magnetization 0.411 Bohr magnetons per cell. Number 7: magnetization 1.267 Bohr magnetons per cell. Number 8: magnetization 5.415 Bohr magnetons per cell. Number 9: magnetization 0.005 Bohr magnetons per cell. Number 10: magnetization 0.524 Bohr magnetons per cell. Number 11: magnetization 0.010 Bohr magnetons per cell. Number 12: magnetization 0.005 Bohr magnetons per cell.